First-principles (SCAN) data for a PBEsol-optimized structure of Li2ScCd, as listed in Alexandria.

crystal system	monoclinic
E above lowest polymorph	12	meV/atom

```
Li2ScCd
1.0
-3.0121 -0.4872 0.6850
0.1219 -4.4095 -2.6004
2.7972 -1.2462 4.2751
Cd Li Sc
1 2 1
Cartesian
0.0609 -2.2048 -1.3002
-0.8011 -4.1649 0.6532
0.7081 -1.9781 1.7065
-1.5060 -0.2436 0.3425
```